No. 1
A relaxed structure of TbAl6Pd2. Source: Alexandria via LeMat-Bulk, functional GGA-PBE.

Calculated values
ΔE_f   -449.9 meV/atom

a b c (Å): 4.5303 4.5303 7.9171
angles (deg): 90.00 90.00 90.00
Positions (direct):
1 Tb 0.0000 0.0000 0.0000
2 Al 0.0000 0.0000 0.5000
3 Al 0.0000 0.5000 0.2967
4 Al 0.0000 0.5000 0.7033
5 Al 0.5000 0.0000 0.2967
6 Al 0.5000 0.0000 0.7033
7 Al 0.5000 0.5000 0.5000
8 Pd 0.5000 0.5000 0.1699
9 Pd 0.5000 0.5000 0.8301

---

No. 2
A relaxed structure of Ta2Nb2Mo3. Source: Alexandria via LeMat-Bulk, functional GGA-PBE.

Calculated values
Energy above the most stable polymorph in this dataset   0.338 eV per atom
ΔE_f   246.1 meV/atom

a b c (Å): 9.8531 9.8531 2.6797
angles (deg): 90.00 90.00 151.90
Positions (direct):
1 Ta 0.0699 0.9301 0.0000
2 Ta 0.9301 0.0699 0.0000
3 Nb 0.2122 0.7878 0.0000
4 Nb 0.7878 0.2122 0.0000
5 Mo 0.3597 0.6403 0.5000
6 Mo 0.5000 0.5000 0.5000
7 Mo 0.6403 0.3597 0.5000

---

No. 3
A relaxed structure of Be2HBr. Source: Alexandria via LeMat-Bulk, functional GGA-PBE.

Calculated values
Energy above the most stable polymorph in this dataset   0.000 eV per atom

a b c (Å): 6.6766 6.6766 6.6766
angles (deg): 144.08 144.08 51.70
Positions (direct):
1 Be 0.3750 0.2304 0.3554
2 Be 0.7696 0.1250 0.1446
3 Be 0.8750 0.0196 0.6446
4 Be 0.9804 0.6250 0.8554
5 H 0.0000 0.0000 0.0000
6 H 0.7500 0.2500 0.5000
7 Br 0.2500 0.7500 0.5000
8 Br 0.5000 0.5000 0.0000

---

No. 4
A relaxed structure of Mo5Se8. Source: Alexandria via LeMat-Bulk, functional GGA-PBE.

Calculated values
Uncorrected formation energy   -9.3 kcal/mol of atoms

a b c (Å): 6.9483 6.9483 8.6181
angles (deg): 125.94 125.94 60.70
Positions (direct):
1 Mo 0.0000 0.0000 0.0000
2 Mo 0.2839 0.2839 0.4999
3 Mo 0.2889 0.7111 0.5000
4 Mo 0.7111 0.2889 0.5000
5 Mo 0.7161 0.7161 0.5001
6 Se 0.1916 0.1916 0.7026
7 Se 0.2005 0.7153 0.7503
8 Se 0.2855 0.2855 0.2044
9 Se 0.2847 0.7995 0.2497
10 Se 0.7153 0.2005 0.7503
11 Se 0.7145 0.7145 0.7956
12 Se 0.7995 0.2847 0.2497
13 Se 0.8084 0.8084 0.2974

---

No. 5
A relaxed structure of TaCuOsRu. Source: Alexandria via LeMat-Bulk, functional GGA-PBE.

Calculated values
ΔE_f   -21.5 meV/atom

a b c (Å): 4.3671 4.3671 4.3671
angles (deg): 60.00 60.00 60.00
Positions (direct):
1 Ta 0.0000 0.0000 0.0000
2 Cu 0.5000 0.5000 0.5000
3 Os 0.7500 0.7500 0.7500
4 Ru 0.2500 0.2500 0.2500

---

No. 6
A relaxed structure of TcNiOs. Source: Alexandria via LeMat-Bulk, functional GGA-PBE.

Calculated values
Energy above the most stable polymorph in this dataset   0.560 eV per atom
ΔE_f   578.8 meV/atom

a b c (Å): 4.0843 4.0843 4.0843
angles (deg): 60.00 60.00 60.00
Positions (direct):
1 Tc 0.0000 0.0000 0.0000
2 Ni 0.5000 0.5000 0.5000
3 Os 0.7500 0.7500 0.7500

---

No. 7
A relaxed structure of CoHg2Br. Source: Alexandria via LeMat-Bulk, functional GGA-PBE.

Calculated values
Uncorrected formation energy   3.7 kcal/mol of atoms
Energy above the most stable polymorph in this dataset   0.069 eV per atom

a b c (Å): 3.3176 7.0860 7.0860
angles (deg): 35.75 90.00 90.00
Positions (direct):
1 Co 0.0000 0.0000 0.0000
2 Hg 0.0000 0.8026 0.8026
3 Hg 0.5000 0.4538 0.4538
4 Br 0.5000 0.1368 0.1368

---

No. 8
A relaxed structure of V15Cr2Rh2. Source: Alexandria via LeMat-Bulk, functional GGA-PBE.

Calculated values
ΔE_f   288.1 meV/atom

a b c (Å): 6.5266 6.5266 6.5266
angles (deg): 79.72 79.72 79.72
Positions (direct):
1 V 0.0000 0.0000 0.5000
2 V 0.0000 0.3108 0.6892
3 V 0.0000 0.5000 0.0000
4 V 0.0000 0.6892 0.3108
5 V 0.1641 0.6499 0.6499
6 V 0.3108 0.0000 0.6892
7 V 0.3108 0.6892 0.0000
8 V 0.3501 0.3501 0.8359
9 V 0.3501 0.8359 0.3501
10 V 0.5000 0.0000 0.0000
11 V 0.6499 0.1641 0.6499
12 V 0.6499 0.6499 0.1641
13 V 0.6892 0.0000 0.3108
14 V 0.6892 0.3108 0.0000
15 V 0.8359 0.3501 0.3501
16 Cr 0.0859 0.0859 0.0859
17 Cr 0.9141 0.9141 0.9141
18 Rh 0.3055 0.3055 0.3055
19 Rh 0.6945 0.6945 0.6945

---

These records have spin magnetization values of 0.00 0.00 0.00 0.00 0.00 0.00 1.95 0.00 μB/cell, in the order they appear.
These records have DOS(E_F) values of 3.5 6.4 0.0 9.7 4.9 4.1 2.7 28.4 states/eV/cell, in the order they appear.